1.
## ThMg4B3Pt12 (PBE)

Data for crystalline ThMg4B3Pt12 at its relaxed geometry.

Cell lengths 8.9622, 8.9622, 8.9622 Å; angles 90.00, 90.00, 90.00 degrees
With the nearest neighbours (Å) after each atom.
Space group Im-3m (No. 229)
One atom of each set of equivalent atoms:
Th (0.0000, 0.0000, 0.0000) [2 per cell]  6 Pt 2.56
Mg (0.2500, 0.2500, 0.2500) [8 per cell]  12 Pt 3.17-3.18
B (0.0000, 0.0000, 0.5000) [6 per cell]  2 Pt 1.92
Pt (0.0000, 0.0000, 0.2853) [12 per cell]  1 B 1.92
Pt (0.0000, 0.2500, 0.5000) [12 per cell]  2 B 2.24

Its final energy is -5.438 eV/atom.

=====

2.
## MgZn2B2Pt5 (PBE)

Data for crystalline MgZn2B2Pt5 at its relaxed geometry.

Cell lengths 9.4752, 9.4752, 3.1101 Å; angles 90.00, 90.00, 90.00 degrees
With the nearest neighbours (Å) after each atom.
Space group P4/mbm (No. 127)
One atom of each set of equivalent atoms:
Mg (0.0000, 0.0000, 0.0000) [2 per cell]  8 Pt 2.67
Zn (0.1773, 0.3227, 0.0000) [4 per cell]  3 B 2.64-2.91, 6 Pt 2.82-2.84
B (0.1255, 0.6255, 0.0000) [4 per cell]  6 Pt 2.21-2.29
Pt (0.0000, 0.5000, 0.5000) [2 per cell]  4 B 2.29
Pt (0.0769, 0.7837, 0.5000) [8 per cell]  2 B 2.21

Its final energy is -5.075 eV/atom.

=====

3.
## PuMgB (PBE)

Data for crystalline PuMgB at its relaxed geometry.

Cell lengths 10.2685, 3.5105, 7.5012 Å; angles 90.00, 130.32, 90.00 degrees
With the nearest neighbours (Å) after each atom.
Space group C2/m (No. 12)
One atom of each set of equivalent atoms:
Pu (0.1051, 0.0000, 0.3836) [4 per cell]  4 B 2.64-2.65, 2 Pu 2.87
Mg (0.1836, 0.5000, 0.0801) [4 per cell]  3 B 2.53-2.80
B (0.0989, 0.5000, 0.6423) [4 per cell]  1 B 1.75

Its final energy is -7.394 eV/atom.

=====

4.
## PuMgB12 (PBE)

Data for crystalline PuMgB12 at its relaxed geometry.

Cell lengths 4.1091, 4.1091, 8.2344 Å; angles 90.00, 90.00, 90.00 degrees
With the nearest neighbours (Å) after each atom.
Space group P4/mmm (No. 123)
One atom of each set of equivalent atoms:
Pu (0.0000, 0.0000, 0.0000) [1 per cell]  24 B 3.02-3.03
Mg (0.0000, 0.0000, 0.5000) [1 per cell]  24 B 3.02
B (0.1996, 0.5000, 0.2510) [8 per cell]  5 B 1.64-1.75
B (0.5000, 0.5000, 0.1000) [2 per cell]  5 B 1.65-1.75
B (0.5000, 0.5000, 0.4001) [2 per cell]  5 B 1.64-1.74

Its final energy is -7.038 eV/atom.